No. 1
ZnFe | GGA-PBE | optimized geometry

Properties
total energy: -4.7745 eV/atom
energy relative to the elements: 94 meV/atom
space-group type: Pmmn, No. 59
total moment: 2.33 μB per formula unit

a = 2.5457 Å, b = 4.3370 Å, c = 4.6500 Å
α = 90.00°, β = 90.00°, γ = 90.00°
Fractional coordinates of all 4 atoms:
Zn  0.2500  0.2500  0.0948
Zn  0.7500  0.7500  0.9052
Fe  0.2500  0.7500  0.4167
Fe  0.7500  0.2500  0.5833

---

No. 2
ZrZn11Fe | GGA-PBE | optimized geometry

Properties
total energy: -2.4728 eV/atom
energy relative to the elements: -86 meV/atom
space-group type: C2/m, No. 12
total moment: 2.47 μB per formula unit

a = 6.6856 Å, b = 6.6856 Å, c = 6.6189 Å
α = 98.48°, β = 98.48°, γ = 134.58°
Fractional coordinates of all 13 atoms:
Zr  0.0000  0.0000  0.0000
Zn  0.0000  0.5000  0.0000
Zn  0.0110  0.6691  0.6467
Zn  0.2819  0.4935  0.7850
Zn  0.3309  0.9890  0.3533
Zn  0.4935  0.2819  0.7850
Zn  0.5000  0.0000  0.0000
Zn  0.5000  0.5000  0.5000
Zn  0.5065  0.7181  0.2150
Zn  0.6691  0.0110  0.6467
Zn  0.7181  0.5065  0.2150
Zn  0.9890  0.3309  0.3533
Fe  0.0000  0.0000  0.5000

---

No. 3
Zr3Zn2Fe | GGA-PBE | optimized geometry

Properties
total energy: -6.3493 eV/atom
polymorph energy (0 for the lowest one): 0.00 eV per formula unit
energy relative to the elements: -240 meV/atom
space-group type: P4/mmm, No. 123
total moment: 0.47 μB per formula unit

a = 3.2852 Å, b = 3.2852 Å, c = 9.9201 Å
α = 90.00°, β = 90.00°, γ = 90.00°
Fractional coordinates of all 6 atoms:
Zr  0.0000  0.0000  0.0000
Zr  0.0000  0.0000  0.3458
Zr  0.0000  0.0000  0.6542
Zn  0.5000  0.5000  0.1717
Zn  0.5000  0.5000  0.8283
Fe  0.5000  0.5000  0.5000

---

No. 4
Zr5ZnFe | GGA-PBE | optimized geometry

Properties
total energy: -7.4737 eV/atom
energy relative to the elements: 23 meV/atom
space-group type: C2/c, No. 15
total moment: 0.00 μB per formula unit

a = 5.3511 Å, b = 5.3511 Å, c = 10.4209 Å
α = 101.55°, β = 101.55°, γ = 83.36°
Fractional coordinates of all 14 atoms:
Zr  0.0050  0.9950  0.7500
Zr  0.0830  0.4352  0.6268
Zr  0.2174  0.5243  0.9420
Zr  0.4352  0.0830  0.1268
Zr  0.4757  0.7826  0.5580
Zr  0.5243  0.2174  0.4420
Zr  0.5648  0.9170  0.8732
Zr  0.7826  0.4757  0.0580
Zr  0.9170  0.5648  0.3732
Zr  0.9950  0.0050  0.2500
Zn  0.3916  0.6084  0.2500
Zn  0.6084  0.3916  0.7500
Fe  0.0000  0.0000  0.0000
Fe  0.0000  0.0000  0.5000

---

No. 5
Zr2ZnFe2 | GGA-PBE | optimized geometry

Properties
total energy: -7.1760 eV/atom
energy relative to the elements: -117 meV/atom
space-group type: P4/mbm, No. 127
total moment: 0.00 μB per formula unit

a = 6.5626 Å, b = 6.5626 Å, c = 3.7523 Å
α = 90.00°, β = 90.00°, γ = 90.00°
Fractional coordinates of all 10 atoms:
Zr  0.1868  0.3132  0.0000
Zr  0.3132  0.8132  0.0000
Zr  0.6868  0.1868  0.0000
Zr  0.8132  0.6868  0.0000
Zn  0.0000  0.0000  0.5000
Zn  0.5000  0.5000  0.5000
Fe  0.1158  0.6158  0.5000
Fe  0.3842  0.1158  0.5000
Fe  0.6158  0.8842  0.5000
Fe  0.8842  0.3842  0.5000

---

No. 6
Zr5ZnFe4 | GGA-PBE | optimized geometry

Properties
total energy: -7.9799 eV/atom
energy relative to the elements: -193 meV/atom
space-group type: P4/mmm, No. 123
total moment: 0.32 μB per formula unit

a = 3.2033 Å, b = 3.2033 Å, c = 16.1421 Å
α = 90.00°, β = 90.00°, γ = 90.00°
Fractional coordinates of all 10 atoms:
Zr  0.0000  0.0000  0.0000
Zr  0.0000  0.0000  0.1953
Zr  0.0000  0.0000  0.3897
Zr  0.0000  0.0000  0.6103
Zr  0.0000  0.0000  0.8047
Zn  0.5000  0.5000  0.5000
Fe  0.5000  0.5000  0.0976
Fe  0.5000  0.5000  0.2939
Fe  0.5000  0.5000  0.7061
Fe  0.5000  0.5000  0.9024

---

No. 7
Zr3Zn2Fe | GGA-PBE | optimized geometry

Properties
total energy: -6.3322 eV/atom
polymorph energy (0 for the lowest one): 0.10 eV per formula unit
energy relative to the elements: -223 meV/atom
space-group type: Cmmm, No. 65
total moment: 0.32 μB per formula unit

a = 7.3324 Å, b = 7.3324 Å, c = 6.6297 Å
α = 90.00°, β = 90.00°, γ = 143.07°
Fractional coordinates of all 12 atoms:
Zr  0.0000  0.0000  0.2428
Zr  0.0000  0.0000  0.7572
Zr  0.3291  0.6709  0.2386
Zr  0.3291  0.6709  0.7614
Zr  0.6709  0.3291  0.2386
Zr  0.6709  0.3291  0.7614
Zn  0.1638  0.8362  0.5000
Zn  0.5000  0.5000  0.0000
Zn  0.5000  0.5000  0.5000
Zn  0.8362  0.1638  0.5000
Fe  0.1636  0.8364  0.0000
Fe  0.8364  0.1636  0.0000

---

No. 8
Zr8ZnFe2 | GGA-PBE | optimized geometry

Properties
total energy: -7.9532 eV/atom
energy relative to the elements: -82 meV/atom
space-group type: C2/m, No. 12
total moment: 0.00 μB per formula unit

a = 8.0564 Å, b = 8.0564 Å, c = 7.0916 Å
α = 115.67°, β = 115.67°, γ = 32.40°
Fractional coordinates of all 11 atoms:
Zr  0.0450  0.0450  0.2594
Zr  0.1812  0.1812  0.7883
Zr  0.3149  0.3149  0.5258
Zr  0.4060  0.4060  0.0305
Zr  0.5940  0.5940  0.9695
Zr  0.6851  0.6851  0.4742
Zr  0.8188  0.8188  0.2117
Zr  0.9550  0.9550  0.7406
Zn  0.5000  0.5000  0.5000
Fe  0.1874  0.1874  0.1403
Fe  0.8126  0.8126  0.8597

---

No. 9
ZrZn20Fe2 | GGA-PBE | optimized geometry

Properties
total energy: -2.3375 eV/atom
energy relative to the elements: -122 meV/atom
space-group type: Fd-3m, No. 227
total moment: 0.00 μB per formula unit

a = 9.8348 Å, b = 9.8348 Å, c = 9.8348 Å
α = 60.00°, β = 60.00°, γ = 60.00°
Fractional coordinates of all 46 atoms:
Zr  0.1250  0.1250  0.1250
Zr  0.8750  0.8750  0.8750
Zn  0.0000  0.0000  0.0000
Zn  0.0000  0.0000  0.5000
Zn  0.0000  0.5000  0.0000
Zn  0.0564  0.3247  0.3247
Zn  0.0564  0.3247  0.7941
Zn  0.0564  0.7941  0.3247
Zn  0.2059  0.6753  0.6753
Zn  0.2059  0.6753  0.9436
Zn  0.2059  0.9436  0.6753
Zn  0.2386  0.2386  0.5114
Zn  0.2386  0.5114  0.2386
Zn  0.2386  0.5114  0.5114
Zn  0.3247  0.0564  0.3247
Zn  0.3247  0.0564  0.7941
Zn  0.3247  0.3247  0.0564
Zn  0.3247  0.3247  0.7941
Zn  0.3247  0.7941  0.0564
Zn  0.3247  0.7941  0.3247
Zn  0.4886  0.4886  0.7614
Zn  0.4886  0.7614  0.4886
Zn  0.4886  0.7614  0.7614
Zn  0.5000  0.0000  0.0000
Zn  0.5114  0.2386  0.2386
Zn  0.5114  0.2386  0.5114
Zn  0.5114  0.5114  0.2386
Zn  0.6753  0.2059  0.6753
Zn  0.6753  0.2059  0.9436
Zn  0.6753  0.6753  0.2059
Zn  0.6753  0.6753  0.9436
Zn  0.6753  0.9436  0.2059
Zn  0.6753  0.9436  0.6753
Zn  0.7614  0.4886  0.4886
Zn  0.7614  0.4886  0.7614
Zn  0.7614  0.7614  0.4886
Zn  0.7941  0.0564  0.3247
Zn  0.7941  0.3247  0.0564
Zn  0.7941  0.3247  0.3247
Zn  0.9436  0.2059  0.6753
Zn  0.9436  0.6753  0.2059
Zn  0.9436  0.6753  0.6753
Fe  0.0000  0.5000  0.5000
Fe  0.5000  0.0000  0.5000
Fe  0.5000  0.5000  0.0000
Fe  0.5000  0.5000  0.5000

---

No. 10
Zr11Zn9Fe4 | GGA-PBE | optimized geometry

Properties
total energy: -6.0692 eV/atom
energy relative to the elements: -263 meV/atom
space-group type: Cmmm, No. 65
total moment: 0.90 μB per formula unit

a = 11.9007 Å, b = 11.9007 Å, c = 3.2503 Å
α = 90.00°, β = 90.00°, γ = 112.70°
Fractional coordinates of all 24 atoms:
Zr  0.0000  0.0000  0.0000
Zr  0.0726  0.4125  0.0000
Zr  0.1607  0.8393  0.0000
Zr  0.3063  0.3063  0.0000
Zr  0.3705  0.6295  0.0000
Zr  0.4125  0.0726  0.0000
Zr  0.5875  0.9274  0.0000
Zr  0.6295  0.3705  0.0000
Zr  0.6937  0.6937  0.0000
Zr  0.8393  0.1607  0.0000
Zr  0.9274  0.5875  0.0000
Zn  0.0761  0.2156  0.5000
Zn  0.1605  0.6337  0.5000
Zn  0.2156  0.0761  0.5000
Zn  0.3663  0.8395  0.5000
Zn  0.5000  0.5000  0.5000
Zn  0.6337  0.1605  0.5000
Zn  0.7844  0.9239  0.5000
Zn  0.8395  0.3663  0.5000
Zn  0.9239  0.7844  0.5000
Fe  0.2474  0.4497  0.5000
Fe  0.4497  0.2474  0.5000
Fe  0.5503  0.7526  0.5000
Fe  0.7526  0.5503  0.5000

---

No. 11
ZrZn9Fe3 | GGA-PBE | optimized geometry

Properties
total energy: -3.5405 eV/atom
energy relative to the elements: -48 meV/atom
space-group type: C2/m, No. 12
total moment: 5.84 μB per formula unit

a = 6.5510 Å, b = 6.5510 Å, c = 6.6089 Å
α = 98.02°, β = 98.02°, γ = 134.67°
Fractional coordinates of all 13 atoms:
Zr  0.0000  0.0000  0.0000
Zn  0.0217  0.6771  0.6647
Zn  0.2810  0.4988  0.7848
Zn  0.3229  0.9783  0.3353
Zn  0.4988  0.2810  0.7848
Zn  0.5000  0.5000  0.5000
Zn  0.5012  0.7190  0.2152
Zn  0.6771  0.0217  0.6647
Zn  0.7190  0.5012  0.2152
Zn  0.9783  0.3229  0.3353
Fe  0.0000  0.0000  0.5000
Fe  0.0000  0.5000  0.0000
Fe  0.5000  0.0000  0.0000

---

No. 12
Zr3ZnFe | GGA-PBE | optimized geometry

Properties
total energy: -6.8092 eV/atom
polymorph energy (0 for the lowest one): 2.07 eV per formula unit
energy relative to the elements: 267 meV/atom
space-group type: Pm-3m, No. 221
total moment: 0.00 μB per formula unit

a = 4.7964 Å, b = 4.7964 Å, c = 4.7964 Å
α = 90.00°, β = 90.00°, γ = 90.00°
Fractional coordinates of all 5 atoms:
Zr  0.0000  0.0000  0.5000
Zr  0.0000  0.5000  0.0000
Zr  0.5000  0.0000  0.0000
Zn  0.5000  0.5000  0.5000
Fe  0.0000  0.0000  0.0000

---

Q: total energy of number 8 (Zr8ZnFe2)?
A: -7.9532 eV/atom

---

What did the eleventh record say?
ZrZn9Fe3 | GGA-PBE | optimized geometry

Properties
total energy: -3.5405 eV/atom
energy relative to the elements: -48 meV/atom
space-group type: C2/m, No. 12
total moment: 5.84 μB per formula unit

a = 6.5510 Å, b = 6.5510 Å, c = 6.6089 Å
α = 98.02°, β = 98.02°, γ = 134.67°
Fractional coordinates of all 13 atoms:
Zr  0.0000  0.0000  0.0000
Zn  0.0217  0.6771  0.6647
Zn  0.2810  0.4988  0.7848
Zn  0.3229  0.9783  0.3353
Zn  0.4988  0.2810  0.7848
Zn  0.5000  0.5000  0.5000
Zn  0.5012  0.7190  0.2152
Zn  0.6771  0.0217  0.6647
Zn  0.7190  0.5012  0.2152
Zn  0.9783  0.3229  0.3353
Fe  0.0000  0.0000  0.5000
Fe  0.0000  0.5000  0.0000
Fe  0.5000  0.0000  0.0000